# 1
## Mg12ZrCd3 (PBE)

Data for a geometry-optimized Mg12ZrCd3 structure.

Its spin magnetization is 0.00 μB/cell. The value obtained for the formation energy is -0.034 eV/atom. As for the theoretical density: 3.4 g cm⁻³. As for the crystal system: tetragonal.

Lattice parameters (Å, degrees): 4.4632 4.4632 17.6994 90.00 90.00 90.00
Closest atoms and distances in Å follow each position.
Space group P4/mmm (No. 123)
Asymmetric unit:
Mg  0.0000  0.0000  0.0000 x1  8 Mg 3.13, 4 Cd 3.16
Mg  0.0000  0.0000  0.2467 x2  8 Mg 3.11-3.18, 4 Cd 3.16
Mg  0.0000  0.0000  0.5000 x1  8 Mg 3.15, 4 Zr 3.16
Mg  0.0000  0.5000  0.1244 x4  8 Mg 3.11-3.16, 4 Cd 3.13-3.17
Mg  0.0000  0.5000  0.3745 x4  2 Cd 3.12, 2 Zr 3.15, 8 Mg 3.15-3.18
Zr  0.5000  0.5000  0.5000 x1  12 Mg 3.15-3.16
Cd  0.5000  0.5000  0.0000 x1  12 Mg 3.13-3.16
Cd  0.5000  0.5000  0.2513 x2  12 Mg 3.12-3.17

***

# 2
## Mg3ZrCd (PBE)

Data for a geometry-optimized Mg3ZrCd structure.

Its spin magnetization is 0.00 μB/cell. The value obtained for the formation energy is -0.016 eV/atom. The calculation puts the offset from the most stable computed form at 0 meV per atom. As for the theoretical density: 4.1 g cm⁻³. As for the crystal system: triclinic.

Lattice parameters (Å, degrees): 3.0855 7.2076 10.6984 102.39 98.21 102.33
Closest atoms and distances in Å follow each position.
Space group P-1 (No. 2)
Asymmetric unit:
Mg  0.1042  0.4830  0.2285 x2  9 Mg 3.09-3.37, 2 Cd 3.10-3.11, 2 Zr 3.23
Mg  0.3751  0.7004  0.5508 x2  1 Cd 3.04, 7 Mg 3.09-3.37, 4 Zr 3.12-3.21
Mg  0.3763  0.2846  0.9473 x2  3 Cd 2.94-3.02, 5 Mg 2.96-3.19, 1 Zr 3.14
Zr  0.1280  0.1110  0.6434 x2  3 Zr 3.04-3.09, 7 Mg 3.12-3.23, 2 Cd 3.17-3.18
Cd  0.3699  0.0873  0.1612 x2  6 Mg 2.94-3.11, 2 Cd 3.09, 2 Zr 3.17-3.18

***

# 3
## Mg4ZrCd (PBE)

Data for a geometry-optimized Mg4ZrCd structure.

Its spin magnetization is 4.71 μB/cell. The value obtained for the formation energy is 0.204 eV/atom. The calculation puts the offset from the most stable computed form at 233 meV per atom. As for the theoretical density: 3.7 g cm⁻³. As for the crystal system: cubic.

Lattice parameters (Å, degrees): 8.1541 8.1541 8.1541 90.00 90.00 90.00
Closest atoms and distances in Å follow each position.
Space group F-43m (No. 216)
Asymmetric unit:
Mg  0.1242  0.1242  0.1242 x16  6 Mg 2.86-2.90
Zr  0.2500  0.2500  0.7500 x4  12 Mg 3.38, 4 Cd 3.53
Cd  0.0000  0.0000  0.5000 x4  12 Mg 3.38, 4 Zr 3.53

***

# 4
## MgZr2Cd4 (PBE)

Data for a geometry-optimized MgZr2Cd4 structure.

Its spin magnetization is 0.00 μB/cell. The value obtained for the formation energy is 0.043 eV/atom. As for the theoretical density: 6.6 g cm⁻³. As for the crystal system: cubic.

Lattice parameters (Å, degrees): 13.8208 13.8208 13.8208 90.00 90.00 90.00
Closest atoms and distances in Å follow each position.
Space group Fd-3m (No. 227, origin choice 2)
Asymmetric unit:
Mg  0.0000  0.0000  0.0000 x16  6 Cd 2.84
Zr  0.0410  0.0410  0.7090 x32  6 Cd 3.00-3.06, 3 Zr 3.28
Cd  0.0000  0.0000  0.5000 x16  6 Zr 3.00, 6 Cd 3.16
Cd  0.1045  0.3750  0.3750 x48  2 Mg 2.84, 2 Zr 3.06, 2 Cd 3.16

***

# 5
## MgZr2Cd3 (PBE)

Data for a geometry-optimized MgZr2Cd3 structure.

Its spin magnetization is 0.28 μB/cell. The value obtained for the formation energy is -0.121 eV/atom. As for the theoretical density: 7.0 g cm⁻³. As for the crystal system: tetragonal.

Lattice parameters (Å, degrees): 3.2034 3.2034 12.5309 90.00 90.00 90.00
Closest atoms and distances in Å follow each position.
Space group P4/mmm (No. 123)
Asymmetric unit:
Mg  0.0000  0.0000  0.0000 x1  8 Cd 3.01, 4 Mg 3.20
Zr  0.0000  0.0000  0.3294 x2  8 Cd 3.11-3.12, 4 Zr 3.20
Cd  0.5000  0.5000  0.1587 x2  4 Mg 3.01, 4 Zr 3.12, 4 Cd 3.20
Cd  0.5000  0.5000  0.5000 x1  8 Zr 3.11, 4 Cd 3.20

***

# 6
## MgZr2Cd2 (PBE)

Data for a geometry-optimized MgZr2Cd2 structure.

Its spin magnetization is 0.00 μB/cell. The value obtained for the formation energy is 0.052 eV/atom. The calculation puts the offset from the most stable computed form at 34 meV per atom. As for the theoretical density: 6.3 g cm⁻³. As for the crystal system: tetragonal.

Lattice parameters (Å, degrees): 7.9641 7.9641 3.5845 90.00 90.00 90.00
Closest atoms and distances in Å follow each position.
Space group P4/mbm (No. 127)
Asymmetric unit:
Mg  0.0000  0.0000  0.0000 x2  4 Cd 3.12, 8 Zr 3.46
Zr  0.1690  0.3310  0.5000 x4  6 Cd 2.89-3.00
Cd  0.1301  0.6301  0.0000 x4  6 Zr 2.89-3.00, 1 Cd 2.93, 2 Mg 3.12

***

# 7
## MgZr3Cd4 (PBE)

Data for a geometry-optimized MgZr3Cd4 structure.

Its spin magnetization is 0.00 μB/cell. The value obtained for the formation energy is -0.109 eV/atom. As for the theoretical density: 7.2 g cm⁻³. As for the crystal system: orthorhombic.

Lattice parameters (Å, degrees): 4.3582 4.4085 8.9981 90.00 90.00 90.00
Closest atoms and distances in Å follow each position.
Space group Pmmm (No. 47)
Asymmetric unit:
Mg  0.0000  0.0000  0.0000 x1  8 Cd 3.10-3.11, 4 Zr 3.18
Zr  0.0000  0.0000  0.5000 x1  8 Cd 3.10-3.15, 4 Zr 3.12
Zr  0.0000  0.5000  0.2540 x2  8 Cd 3.10-3.16, 2 Zr 3.12, 2 Mg 3.18
Cd  0.5000  0.0000  0.2471 x2  6 Zr 3.10-3.15, 2 Mg 3.11, 4 Cd 3.13-3.17
Cd  0.5000  0.5000  0.0000 x1  4 Mg 3.10, 4 Cd 3.13, 4 Zr 3.16
Cd  0.5000  0.5000  0.5000 x1  8 Zr 3.10-3.11, 4 Cd 3.17

***

# 8
## Mg2Zr2Cd (PBE)

Data for a geometry-optimized Mg2Zr2Cd structure.

Its spin magnetization is 0.00 μB/cell. The value obtained for the formation energy is 0.008 eV/atom. The calculation puts the offset from the most stable computed form at 0 meV per atom. As for the theoretical density: 5.0 g cm⁻³. As for the crystal system: monoclinic.

Lattice parameters (Å, degrees): 13.8101 10.2237 3.2254 90.00 96.75 90.00
Closest atoms and distances in Å follow each position.
Space group C2/c (No. 15)
Asymmetric unit:
Mg  0.1060  0.1262  0.4790 x8  1 Cd 3.01, 5 Mg 3.04-3.23, 3 Zr 3.11-3.14
Zr  0.1989  0.3773  0.9149 x8  5 Zr 2.98-3.23, 2 Cd 3.07-3.28, 3 Mg 3.11-3.14
Cd  0.0000  0.3779  0.2500 x4  4 Cd 2.97-3.23, 2 Mg 3.01, 4 Zr 3.07-3.28

***

Question: Which formula does entry 5 have?
Answer: MgZr2Cd3